This record from Alexandria via LeMat-Bulk describes an optimized crystal structure of Rb2TbCu2Te4. The functional is PBE.

Properties
DOS at the Fermi energy (states/eV/cell): 4.3
Symmetry: No. 12
Calculated volume (Å³/cell): 289.3
Energy (Ry per atom): -0.285
Total moment (μB/atom): 0.0000
Crystal system: monoclinic

Cell and atoms, written as POSCAR:
```
Rb2TbCu2Te4
1.0
8.016 -2.150 0.000
8.016 2.150 0.000
-2.784 0.000 8.395
Rb Tb Cu Te
2 1 2 4
direct
0.132 0.132 0.052 Rb
0.868 0.868 0.948 Rb
0.000 0.000 0.500 Tb
0.318 0.318 0.513 Cu
0.682 0.682 0.487 Cu
0.202 0.202 0.673 Te
0.476 0.476 0.732 Te
0.524 0.524 0.268 Te
0.798 0.798 0.327 Te
```